(1)
First-principles (PBE) data for a relaxed structure of NaHg, as listed in the Alexandria database.

## Properties
energy: -0.92 eV per atom
space group: Fm-3m, No. 225
crystal system: cubic
density: 6.16 Mg/m³
size of the total moment: 0.00 μB per cell

The structure in CIF format:
```
data_NaHg
_chemical_formula_sum 'Na4 Hg4'
_cell_length_a 6.223
_cell_length_b 6.223
_cell_length_c 6.223
_cell_angle_alpha 90.00
_cell_angle_beta 90.00
_cell_angle_gamma 90.00
_space_group_name_H-M_alt 'P 1'
_space_group_IT_number 1
loop_
_space_group_symop_operation_xyz
'x,y,z'
loop_
_atom_site_label
_atom_site_type_symbol
_atom_site_fract_x
_atom_site_fract_y
_atom_site_fract_z
Na1 Na 0.000 0.000 0.000
Na2 Na 0.000 0.500 0.500
Na3 Na 0.500 0.000 0.500
Na4 Na 0.500 0.500 0.000
Hg1 Hg 0.000 0.000 0.500
Hg2 Hg 0.000 0.500 0.000
Hg3 Hg 0.500 0.000 0.000
Hg4 Hg 0.500 0.500 0.500
```

(2)
First-principles (PBE) data for a relaxed structure of LiCe2Zn5, as listed in the Alexandria database.

## Properties
energy: -2.67 eV per atom
space group: Cmcm, No. 63
crystal system: orthorhombic
density: 6.33 Mg/m³
size of the total moment: 3.92 μB per cell

The structure in CIF format:
```
data_LiCe2Zn5
_chemical_formula_sum 'Li2 Ce4 Zn10'
_cell_length_a 8.403
_cell_length_b 8.403
_cell_length_c 9.053
_cell_angle_alpha 90.00
_cell_angle_beta 90.00
_cell_angle_gamma 149.74
_space_group_name_H-M_alt 'P 1'
_space_group_IT_number 1
loop_
_space_group_symop_operation_xyz
'x,y,z'
loop_
_atom_site_label
_atom_site_type_symbol
_atom_site_fract_x
_atom_site_fract_y
_atom_site_fract_z
Li1 Li 0.057 0.943 0.750
Li2 Li 0.943 0.057 0.250
Ce1 Ce 0.297 0.703 0.250
Ce2 Ce 0.500 0.500 0.000
Ce3 Ce 0.500 0.500 0.500
Ce4 Ce 0.703 0.297 0.750
Zn1 Zn 0.099 0.901 0.250
Zn2 Zn 0.151 0.849 0.522
Zn3 Zn 0.151 0.849 0.978
Zn4 Zn 0.313 0.687 0.607
Zn5 Zn 0.313 0.687 0.893
Zn6 Zn 0.687 0.313 0.107
Zn7 Zn 0.687 0.313 0.393
Zn8 Zn 0.849 0.151 0.022
Zn9 Zn 0.849 0.151 0.478
Zn10 Zn 0.901 0.099 0.750
```

(3)
First-principles (PBE) data for a relaxed structure of ZnReOs2, as listed in the Alexandria database.

## Properties
energy: -8.14 eV per atom
space group: I-42d, No. 122
crystal system: tetragonal
density: 15.29 Mg/m³
size of the total moment: 0.00 μB per cell

The structure in CIF format:
```
data_ZnReOs2
_chemical_formula_sum 'Zn4 Re4 Os8'
_cell_length_a 7.323
_cell_length_b 7.323
_cell_length_c 5.119
_cell_angle_alpha 90.00
_cell_angle_beta 90.00
_cell_angle_gamma 90.00
_space_group_name_H-M_alt 'P 1'
_space_group_IT_number 1
loop_
_space_group_symop_operation_xyz
'x,y,z'
loop_
_atom_site_label
_atom_site_type_symbol
_atom_site_fract_x
_atom_site_fract_y
_atom_site_fract_z
Zn1 Zn 0.000 0.000 0.000
Zn2 Zn 0.000 0.500 0.250
Zn3 Zn 0.500 0.000 0.750
Zn4 Zn 0.500 0.500 0.500
Re1 Re 0.000 0.000 0.500
Re2 Re 0.000 0.500 0.750
Re3 Re 0.500 0.000 0.250
Re4 Re 0.500 0.500 0.000
Os1 Os 0.201 0.250 0.625
Os2 Os 0.250 0.701 0.875
Os3 Os 0.250 0.799 0.375
Os4 Os 0.299 0.250 0.125
Os5 Os 0.701 0.750 0.125
Os6 Os 0.750 0.201 0.375
Os7 Os 0.750 0.299 0.875
Os8 Os 0.799 0.750 0.625
```

(4)
First-principles (PBE) data for a relaxed structure of AcPr5Tm, as listed in the Alexandria database.

## Properties
energy: -4.55 eV per atom
space group: C2/c, No. 15
crystal system: monoclinic
density: 7.05 Mg/m³
size of the total moment: 0.00 μB per cell

The structure in CIF format:
```
data_AcPr5Tm
_chemical_formula_sum 'Ac2 Pr10 Tm2'
_cell_length_a 6.810
_cell_length_b 6.810
_cell_length_c 11.909
_cell_angle_alpha 102.37
_cell_angle_beta 102.37
_cell_angle_gamma 97.17
_space_group_name_H-M_alt 'P 1'
_space_group_IT_number 1
loop_
_space_group_symop_operation_xyz
'x,y,z'
loop_
_atom_site_label
_atom_site_type_symbol
_atom_site_fract_x
_atom_site_fract_y
_atom_site_fract_z
Ac1 Ac 0.000 0.500 0.000
Ac2 Ac 0.500 0.000 0.500
Pr1 Pr 0.066 0.277 0.534
Pr2 Pr 0.082 0.918 0.250
Pr3 Pr 0.277 0.066 0.034
Pr4 Pr 0.303 0.445 0.330
Pr5 Pr 0.445 0.303 0.830
Pr6 Pr 0.555 0.697 0.170
Pr7 Pr 0.697 0.555 0.670
Pr8 Pr 0.723 0.934 0.966
Pr9 Pr 0.918 0.082 0.750
Pr10 Pr 0.934 0.723 0.466
Tm1 Tm 0.257 0.743 0.750
Tm2 Tm 0.743 0.257 0.250
```

(5)
First-principles (PBE) data for a relaxed structure of ZnSiP3, as listed in the Alexandria database.

## Properties
energy: -3.79 eV per atom
space group: Pm-3m, No. 221
crystal system: cubic
ΔE_f (raw): 0.7936 eV per atom
density: 3.36 Mg/m³
size of the total moment: 0.00 μB per cell

The structure in CIF format:
```
data_ZnSiP3
_chemical_formula_sum 'Zn1 Si1 P3'
_cell_length_a 4.517
_cell_length_b 4.517
_cell_length_c 4.517
_cell_angle_alpha 90.00
_cell_angle_beta 90.00
_cell_angle_gamma 90.00
_space_group_name_H-M_alt 'P 1'
_space_group_IT_number 1
loop_
_space_group_symop_operation_xyz
'x,y,z'
loop_
_atom_site_label
_atom_site_type_symbol
_atom_site_fract_x
_atom_site_fract_y
_atom_site_fract_z
Zn1 Zn 0.000 0.000 0.000
Si1 Si 0.500 0.500 0.500
P1 P 0.000 0.500 0.500
P2 P 0.500 0.000 0.500
P3 P 0.500 0.500 0.000
```

(6)
First-principles (PBE) data for a relaxed structure of CuH2Br4N2, as listed in the Alexandria database.

## Properties
energy: -2.36 eV per atom
space group: I4/mmm, No. 139
crystal system: tetragonal
density: 3.69 Mg/m³
size of the total moment: 5.94 μB per cell

The structure in CIF format:
```
data_CuH2Br4N2
_chemical_formula_sum 'Cu1 H2 Br4 N2'
_cell_length_a 6.446
_cell_length_b 6.446
_cell_length_c 6.446
_cell_angle_alpha 100.26
_cell_angle_beta 100.26
_cell_angle_gamma 130.08
_space_group_name_H-M_alt 'P 1'
_space_group_IT_number 1
loop_
_space_group_symop_operation_xyz
'x,y,z'
loop_
_atom_site_label
_atom_site_type_symbol
_atom_site_fract_x
_atom_site_fract_y
_atom_site_fract_z
Cu1 Cu 0.000 0.000 0.000
H1 H 0.282 0.282 0.000
H2 H 0.718 0.718 0.000
Br1 Br 0.220 0.220 0.439
Br2 Br 0.220 0.780 0.000
Br3 Br 0.780 0.220 0.000
Br4 Br 0.780 0.780 0.561
N1 N 0.250 0.750 0.500
N2 N 0.750 0.250 0.500
```

Question: Among the records above, which one has the lowest energy?
Answer: ZnReOs2

Repeat the second record exactly.
First-principles (PBE) data for a relaxed structure of LiCe2Zn5, as listed in the Alexandria database.

## Properties
energy: -2.67 eV per atom
space group: Cmcm, No. 63
crystal system: orthorhombic
density: 6.33 Mg/m³
size of the total moment: 3.92 μB per cell

The structure in CIF format:
```
data_LiCe2Zn5
_chemical_formula_sum 'Li2 Ce4 Zn10'
_cell_length_a 8.403
_cell_length_b 8.403
_cell_length_c 9.053
_cell_angle_alpha 90.00
_cell_angle_beta 90.00
_cell_angle_gamma 149.74
_space_group_name_H-M_alt 'P 1'
_space_group_IT_number 1
loop_
_space_group_symop_operation_xyz
'x,y,z'
loop_
_atom_site_label
_atom_site_type_symbol
_atom_site_fract_x
_atom_site_fract_y
_atom_site_fract_z
Li1 Li 0.057 0.943 0.750
Li2 Li 0.943 0.057 0.250
Ce1 Ce 0.297 0.703 0.250
Ce2 Ce 0.500 0.500 0.000
Ce3 Ce 0.500 0.500 0.500
Ce4 Ce 0.703 0.297 0.750
Zn1 Zn 0.099 0.901 0.250
Zn2 Zn 0.151 0.849 0.522
Zn3 Zn 0.151 0.849 0.978
Zn4 Zn 0.313 0.687 0.607
Zn5 Zn 0.313 0.687 0.893
Zn6 Zn 0.687 0.313 0.107
Zn7 Zn 0.687 0.313 0.393
Zn8 Zn 0.849 0.151 0.022
Zn9 Zn 0.849 0.151 0.478
Zn10 Zn 0.901 0.099 0.750
```

Question: Look up the energy of the fifth one.
Answer: -3.79 eV per atom